No. 1
Material: HfNbN2F
Method: DFT, GGA-PBEsol
State: relaxed

Cell: 3.8342 4.1905 4.1905 Å, 90.00 90.00 90.00°
Last column: magnetic moment on the atom in μB.
Fractional coordinates of all 5 atoms:
Hf 0.0000 0.0000 0.0000  0.02
N 0.0000 0.0000 0.5000  -0.10
N 0.0000 0.5000 0.0000  -0.10
F 0.5000 0.0000 0.0000  0.04
Nb 0.5000 0.5000 0.5000  1.86

Output
The calculation puts the size of the total moment at 2.0 μB/cell. The value obtained for the formation energy (no corrections) is -0.630 eV per atom. As for the space-group type: P4/mmm (123).

No. 2
Material: HfPbN2F
Method: DFT, GGA-PBEsol
State: relaxed

Cell: 4.0946 4.2284 4.2284 Å, 90.00 90.00 90.00°
Last column: magnetic moment on the atom in μB.
Fractional coordinates of all 5 atoms:
Hf 0.0000 0.0000 0.0000  0.00
Pb 0.5000 0.5000 0.5000  0.00
N 0.0000 0.0000 0.5000  0.22
N 0.0000 0.5000 0.0000  0.22
F 0.5000 0.0000 0.0000  0.00

Output
The calculation puts the size of the total moment at 0.6 μB/cell. The value obtained for the distance to the lowest polymorph of the same formula is 0.000 eV/atom. The value obtained for the formation energy (no corrections) is -1.032 eV per atom. As for the space-group type: P4/mmm (123).

No. 3
Material: Hf2PbNF
Method: DFT, GGA-PBEsol
State: relaxed

Cell: 4.2313 4.2313 4.6190 Å, 90.00 90.00 90.00°
Fractional coordinates of all 5 atoms:
F 0.0000 0.0000 0.0000
N 0.0000 0.0000 0.5000
Hf 0.5000 0.0000 0.0000
Hf 0.0000 0.5000 0.0000
Pb 0.5000 0.5000 0.5000

Output
The calculation puts the size of the total moment at 0.0 μB/cell. The value obtained for the formation energy (no corrections) is 0.060 eV per atom. As for the space-group type: P4/mmm (123).

No. 4
Material: HfPbN2F
Method: DFT, GGA-PBEsol
State: relaxed

Cell: 4.1109 4.2686 4.2686 Å, 90.00 90.00 90.00°
Fractional coordinates of all 5 atoms:
N 0.0000 0.0000 0.5000
N 0.0000 0.5000 0.0000
Hf 0.5000 0.5000 0.5000
Pb 0.0000 0.0000 0.0000
F 0.5000 0.0000 0.0000

Output
The calculation puts the size of the total moment at 0.0 μB/cell. The value obtained for the distance to the lowest polymorph of the same formula is 1.620 eV/atom. The value obtained for the formation energy (no corrections) is 0.588 eV per atom. As for the space-group type: P4/mmm (123).

No. 5
Material: HfPtNF2
Method: DFT, GGA-PBEsol
State: relaxed

Cell: 3.6525 4.4596 4.4596 Å, 90.00 90.00 90.00°
Fractional coordinates of all 5 atoms:
N 0.5000 0.0000 0.0000
Hf 0.5000 0.5000 0.5000
F 0.0000 0.0000 0.5000
F 0.0000 0.5000 0.0000
Pt 0.0000 0.0000 0.0000

Output
The calculation puts the size of the total moment at 0.0 μB/cell. The value obtained for the formation energy (no corrections) is 0.009 eV per atom. As for the space-group type: P4/mmm (123).

No. 6
Material: HfRuNF2
Method: DFT, GGA-PBEsol
State: relaxed

Cell: 3.8734 3.8734 4.2951 Å, 90.00 90.00 90.00°
Last column: magnetic moment on the atom in μB.
Fractional coordinates of all 5 atoms:
Hf 0.0000 0.0000 0.5000  -0.11
F 0.0000 0.5000 0.0000  0.01
F 0.5000 0.0000 0.0000  0.01
Ru 0.5000 0.5000 0.5000  0.82
N 0.0000 0.0000 0.0000  0.09

Output
The calculation puts the size of the total moment at 0.9 μB/cell. The value obtained for the formation energy (no corrections) is 0.313 eV per atom. As for the space-group type: P4/mmm (123).

Q: What is the formation energy (no corrections) in the third record?
A: 0.060 eV per atom